# LiNdDyZn (PBE, optimized geometry)
data_LiNdDyZn
_chemical_formula_sum 'Li1 Nd1 Dy1 Zn1'
_space_group_name_H-M_alt 'P 1'
_space_group_IT_number 1
_cell_length_a 3.6828
_cell_length_b 3.6828
_cell_length_c 7.4223
_cell_angle_alpha 90.00
_cell_angle_beta 90.00
_cell_angle_gamma 90.00
loop_
_space_group_symop_operation_xyz
'x,y,z'
loop_
_atom_site_label
_atom_site_type_symbol
_atom_site_fract_x
_atom_site_fract_y
_atom_site_fract_z
Dy1 Dy 0.5000 0.5000 0.1249
Zn1 Zn 0.0000 0.0000 0.3441
Li1 Li 0.0000 0.0000 0.8681
Nd1 Nd 0.5000 0.5000 0.5908
# - M_tot (μB/f.u.) = 0.00
# - total energy (eV per atom) = -3.258
# - calculated formation energy (eV per formula unit) = -0.48
# - excess energy over the best structure of this formula in the dataset (eV per atom) = 0.000

=====

# Li2Dy3Ni7 (PBE, optimized geometry)
data_Li2Dy3Ni7
_chemical_formula_sum 'Li2 Dy3 Ni7'
_space_group_name_H-M_alt 'P 1'
_space_group_IT_number 1
_cell_length_a 5.0511
_cell_length_b 5.0511
_cell_length_c 8.5245
_cell_angle_alpha 72.77
_cell_angle_beta 72.77
_cell_angle_gamma 60.00
loop_
_space_group_symop_operation_xyz
'x,y,z'
loop_
_atom_site_label
_atom_site_type_symbol
_atom_site_fract_x
_atom_site_fract_y
_atom_site_fract_z
Ni1 Ni 0.5000 0.5000 0.5000
Ni2 Ni 0.5852 0.0803 0.7494
Ni3 Ni 0.4148 0.9197 0.2506
Li1 Li 0.3347 0.3347 0.9959
Li2 Li 0.6653 0.6653 0.0041
Ni4 Ni 0.5852 0.5852 0.7494
Ni5 Ni 0.4148 0.4148 0.2506
Ni6 Ni 0.9197 0.4148 0.2506
Ni7 Ni 0.0803 0.5852 0.7494
Dy1 Dy 0.0000 0.0000 0.0000
Dy2 Dy 0.1388 0.1388 0.5837
Dy3 Dy 0.8612 0.8612 0.4163
# - M_tot (μB/f.u.) = 0.00
# - total energy (eV per atom) = -5.171
# - calculated formation energy (eV per formula unit) = -3.94

=====

# LiDyNi (PBE, optimized geometry)
data_LiDyNi
_chemical_formula_sum 'Li6 Dy6 Ni6'
_space_group_name_H-M_alt 'P 1'
_space_group_IT_number 1
_cell_length_a 3.7768
_cell_length_b 7.1023
_cell_length_c 12.3662
_cell_angle_alpha 91.04
_cell_angle_beta 90.00
_cell_angle_gamma 90.00
loop_
_space_group_symop_operation_xyz
'x,y,z'
loop_
_atom_site_label
_atom_site_type_symbol
_atom_site_fract_x
_atom_site_fract_y
_atom_site_fract_z
Li1 Li 0.2500 0.8736 0.4638
Dy1 Dy 0.7500 0.0553 0.2841
Dy2 Dy 0.7500 0.5486 0.3773
Li2 Li 0.7500 0.6269 0.8020
Li3 Li 0.2500 0.0133 0.0788
Li4 Li 0.2500 0.3731 0.1980
Ni1 Ni 0.7500 0.2589 0.0755
Li5 Li 0.7500 0.9867 0.9212
Ni2 Ni 0.2500 0.7599 0.2491
Dy3 Dy 0.7500 0.6578 0.0854
Li6 Li 0.7500 0.1264 0.5362
Dy4 Dy 0.2500 0.4514 0.6227
Ni3 Ni 0.2500 0.2585 0.4124
Ni4 Ni 0.7500 0.2401 0.7509
Ni5 Ni 0.7500 0.7415 0.5876
Dy5 Dy 0.2500 0.9447 0.7159
Ni6 Ni 0.2500 0.7411 0.9245
Dy6 Dy 0.2500 0.3422 0.9146
# - M_tot (μB/f.u.) = 0.00
# - total energy (eV per atom) = -4.314
# - calculated formation energy (eV per formula unit) = -0.64
# - excess energy over the best structure of this formula in the dataset (eV per atom) = 0.000

=====

# Li2DyNi (PBE, optimized geometry)
data_Li2DyNi
_chemical_formula_sum 'Li2 Dy1 Ni1'
_space_group_name_H-M_alt 'P 1'
_space_group_IT_number 1
_cell_length_a 3.0006
_cell_length_b 3.0006
_cell_length_c 10.1830
_cell_angle_alpha 81.53
_cell_angle_beta 81.53
_cell_angle_gamma 60.00
loop_
_space_group_symop_operation_xyz
'x,y,z'
loop_
_atom_site_label
_atom_site_type_symbol
_atom_site_fract_x
_atom_site_fract_y
_atom_site_fract_z
Dy1 Dy 0.0000 0.0000 0.0000
Li1 Li 0.1032 0.1032 0.6904
Ni1 Ni 0.5000 0.5000 0.5000
Li2 Li 0.8968 0.8968 0.3096
# - M_tot (μB/f.u.) = 0.27
# - total energy (eV per atom) = -3.156
# - calculated formation energy (eV per formula unit) = 1.59

=====

What is the calculated formation energy in the third record?
-0.64 eV per formula unit

=====

What is the calculated formation energy in the second record?
-3.94 eV per formula unit

=====

What did the first record say?
# LiNdDyZn (PBE, optimized geometry)
data_LiNdDyZn
_chemical_formula_sum 'Li1 Nd1 Dy1 Zn1'
_space_group_name_H-M_alt 'P 1'
_space_group_IT_number 1
_cell_length_a 3.6828
_cell_length_b 3.6828
_cell_length_c 7.4223
_cell_angle_alpha 90.00
_cell_angle_beta 90.00
_cell_angle_gamma 90.00
loop_
_space_group_symop_operation_xyz
'x,y,z'
loop_
_atom_site_label
_atom_site_type_symbol
_atom_site_fract_x
_atom_site_fract_y
_atom_site_fract_z
Dy1 Dy 0.5000 0.5000 0.1249
Zn1 Zn 0.0000 0.0000 0.3441
Li1 Li 0.0000 0.0000 0.8681
Nd1 Nd 0.5000 0.5000 0.5908
# - M_tot (μB/f.u.) = 0.00
# - total energy (eV per atom) = -3.258
# - calculated formation energy (eV per formula unit) = -0.48
# - excess energy over the best structure of this formula in the dataset (eV per atom) = 0.000